No. 1
First-principles (PBEsol) data for crystalline Sr2ZnRh at its relaxed geometry, as listed in Alexandria.

Values from the calculation:
formation enthalpy at 0 K	-0.2509	eV/atom
electronic total energy	-3.6011	eV per atom

Structure (CIF):
```
data_Sr2ZnRh
_chemical_formula_sum 'Sr4 Zn2 Rh2'
_cell_length_a 4.3167
_cell_length_b 4.4321
_cell_length_c 11.2744
_cell_angle_alpha 90.00
_cell_angle_beta 90.00
_cell_angle_gamma 90.00
_space_group_name_H-M_alt 'A m m 2'
_space_group_IT_number 38
_space_group_name_Hall 'A 2 -2'
loop_
_atom_site_label
_atom_site_type_symbol
_atom_site_fract_x
_atom_site_fract_y
_atom_site_fract_z
Sr1 Sr 0.0000 0.0000 0.0000
Sr2 Sr 0.5000 0.0000 0.2811
Zn1 Zn 0.0000 0.0000 0.6976
Rh1 Rh 0.5000 0.0000 0.5875
```

No. 2
First-principles (PBEsol) data for crystalline Zn2HgAu2 at its relaxed geometry, as listed in Alexandria.

Values from the calculation:
formation enthalpy at 0 K	-0.0865	eV/atom
electronic total energy	-2.4023	eV per atom
energy above the lowest structure with this stoichiometry	0.051	eV/atom

Structure (CIF):
```
data_Zn2HgAu2
_chemical_formula_sum 'Zn4 Hg2 Au4'
_cell_length_a 3.6553
_cell_length_b 3.6553
_cell_length_c 13.0887
_cell_angle_alpha 90.00
_cell_angle_beta 90.00
_cell_angle_gamma 90.00
_space_group_name_H-M_alt 'I 4/m m m'
_space_group_IT_number 139
_space_group_name_Hall '-I 4 2'
loop_
_atom_site_label
_atom_site_type_symbol
_atom_site_fract_x
_atom_site_fract_y
_atom_site_fract_z
Zn1 Zn 0.0000 0.5000 0.2500
Hg1 Hg 0.0000 0.0000 0.0000
Au1 Au 0.0000 0.0000 0.3935
```

No. 3
First-principles (PBEsol) data for crystalline CdTe2AuN at its relaxed geometry, as listed in Alexandria.

Values from the calculation:
electronic total energy	-3.3755	eV per atom
formation energy from raw total energies	0.7645	eV per atom

Structure (CIF):
```
data_CdTe2AuN
_chemical_formula_sum 'Cd1 Te2 Au1 N1'
_cell_length_a 5.7080
_cell_length_b 5.7080
_cell_length_c 3.6894
_cell_angle_alpha 90.00
_cell_angle_beta 90.00
_cell_angle_gamma 90.00
_space_group_name_H-M_alt 'P 4/m m m'
_space_group_IT_number 123
_space_group_name_Hall '-P 4 2'
loop_
_atom_site_label
_atom_site_type_symbol
_atom_site_fract_x
_atom_site_fract_y
_atom_site_fract_z
Cd1 Cd 0.0000 0.0000 0.0000
Te1 Te 0.0000 0.5000 0.5000
Au1 Au 0.5000 0.5000 0.5000
N1 N 0.5000 0.5000 0.0000
```